First-principles (PBE-GGA) data for crystalline K3RbC at its relaxed geometry, as listed in Alexandria via LeMat-Bulk.

Summary:
For the density of states at the Fermi level, the calculation gives 5.229 states/eV/cell. The energy above the lowest structure with this stoichiometry is 0.000 eV per formula unit. For the calculated density, the calculation gives 1.50 g/cm3. For the volume, the calculation gives 47.5 A^3/atom. As for the formation energy: 0.952 eV per atom.

a = 6.191 Å, b = 6.191 Å, c = 6.191 Å
α = 90.00°, β = 90.00°, γ = 90.00°
Space group Pm-3m (No. 221)
One atom of each set of equivalent atoms:
1 K 0.000 0.000 0.500
2 Rb 0.500 0.500 0.500
3 C 0.000 0.000 0.000